First-principles (PBE-GGA) data for an optimized crystal structure of MnAsI3, as listed in Alexandria. Values from VASP.

The structure in Quantum ESPRESSO input format:
```
&SYSTEM
  ibrav = 0, nat = 5, ntyp = 3
/
ATOMIC_SPECIES
Mn 54.94 Mn.upf
As 74.92 As.upf
I 126.90 I.upf
CELL_PARAMETERS angstrom
5.751 0.000 0.000
0.000 5.751 0.000
0.000 0.000 5.751
ATOMIC_POSITIONS crystal
Mn 0.000 0.000 0.000
As 0.500 0.500 0.500
I 0.000 0.500 0.500
I 0.500 0.000 0.500
I 0.500 0.500 0.000
```

E above lowest polymorph (meV per atom): 0
Uncorrected energy (eV per atom): -3.252
E_form (uncorrected) (eV per atom): 0.4419
DOS at the Fermi energy (states/eV/f.u.): 2.4
SG: Pm-3m, No. 221

First-principles (PBE-GGA) data for an optimized crystal structure of LiLa2Ag, as listed in Alexandria. Values from VASP.

The structure in Quantum ESPRESSO input format:
```
&SYSTEM
  ibrav = 0, nat = 8, ntyp = 3
/
ATOMIC_SPECIES
Li 6.94 Li.upf
La 138.91 La.upf
Ag 107.87 Ag.upf
CELL_PARAMETERS angstrom
3.697 0.000 0.000
0.000 5.261 0.000
0.000 0.000 11.225
ATOMIC_POSITIONS crystal
Li 0.000 0.000 0.000
Li 0.500 0.500 0.500
La 0.000 0.000 0.571
La 0.000 0.500 0.780
La 0.500 0.000 0.280
La 0.500 0.500 0.071
Ag 0.000 0.500 0.326
Ag 0.500 0.000 0.826
```

Energy relative to the elements (eV per atom): -0.055
E above lowest polymorph (meV per atom): 25
Uncorrected energy (eV per atom): -3.710
DOS at the Fermi energy (states/eV/f.u.): 5.7
SG: Imm2, No. 44

First-principles (PBE-GGA) data for an optimized crystal structure of TlBiP2, as listed in Alexandria. Values from VASP.

The structure in Quantum ESPRESSO input format:
```
&SYSTEM
  ibrav = 0, nat = 16, ntyp = 3
/
ATOMIC_SPECIES
Tl 204.38 Tl.upf
Bi 208.98 Bi.upf
P 30.97 P.upf
CELL_PARAMETERS angstrom
6.320 0.000 0.000
0.000 6.320 0.000
0.000 0.000 12.723
ATOMIC_POSITIONS crystal
Tl 0.000 0.000 0.000
Tl 0.000 0.500 0.250
Tl 0.500 0.000 0.750
Tl 0.500 0.500 0.500
Bi 0.000 0.000 0.500
Bi 0.000 0.500 0.750
Bi 0.500 0.000 0.250
Bi 0.500 0.500 0.000
P 0.232 0.250 0.125
P 0.250 0.732 0.375
P 0.250 0.768 0.875
P 0.268 0.250 0.625
P 0.732 0.750 0.625
P 0.750 0.232 0.875
P 0.750 0.268 0.375
P 0.768 0.750 0.125
```

Energy relative to the elements (eV per atom): 0.340
E above lowest polymorph (meV per atom): 0
Uncorrected energy (eV per atom): -3.927
DOS at the Fermi energy (states/eV/f.u.): 0.0
SG: I-42d, No. 122

First-principles (PBE-GGA) data for an optimized crystal structure of Pu3SbH3, as listed in Alexandria. Values from VASP.

The structure in Quantum ESPRESSO input format:
```
&SYSTEM
  ibrav = 0, nat = 14, ntyp = 3
/
ATOMIC_SPECIES
Pu 244.00 Pu.upf
Sb 121.76 Sb.upf
H 1.01 H.upf
CELL_PARAMETERS angstrom
8.235 0.000 0.000
-4.118 7.132 0.000
0.000 0.000 4.230
ATOMIC_POSITIONS crystal
Pu 0.068 0.717 0.250
Pu 0.283 0.350 0.250
Pu 0.350 0.068 0.750
Pu 0.650 0.932 0.250
Pu 0.717 0.650 0.750
Pu 0.932 0.283 0.750
Sb 0.333 0.667 0.750
Sb 0.667 0.333 0.250
H 0.042 0.821 0.750
H 0.179 0.220 0.750
H 0.220 0.042 0.250
H 0.780 0.958 0.750
H 0.821 0.780 0.250
H 0.958 0.179 0.250
```

E above lowest polymorph (meV per atom): 0
Uncorrected energy (eV per atom): -8.605
DOS at the Fermi energy (states/eV/f.u.): 20.5
SG: P6_3/m, No. 176

First-principles (PBE-GGA) data for an optimized crystal structure of NaBeTcN2, as listed in Alexandria. Values from VASP.

The structure in Quantum ESPRESSO input format:
```
&SYSTEM
  ibrav = 0, nat = 5, ntyp = 4
/
ATOMIC_SPECIES
Na 22.99 Na.upf
Be 9.01 Be.upf
Tc 98.00 Tc.upf
N 14.01 N.upf
CELL_PARAMETERS angstrom
3.688 0.000 0.000
0.000 3.688 0.000
0.000 0.000 3.751
ATOMIC_POSITIONS crystal
Na 0.000 0.000 0.000
Be 0.000 0.000 0.500
Tc 0.500 0.500 0.000
N 0.000 0.500 0.500
N 0.500 0.000 0.500
```

Uncorrected energy (eV per atom): -4.905
E_form (uncorrected) (eV per atom): 1.5070
DOS at the Fermi energy (states/eV/f.u.): 3.2
SG: P4/mmm, No. 123

First-principles (PBE-GGA) data for an optimized crystal structure of Bi2TeAs, as listed in Alexandria. Values from VASP.

The structure in Quantum ESPRESSO input format:
```
&SYSTEM
  ibrav = 0, nat = 16, ntyp = 3
/
ATOMIC_SPECIES
Bi 208.98 Bi.upf
Te 127.60 Te.upf
As 74.92 As.upf
CELL_PARAMETERS angstrom
7.611 0.000 0.000
0.000 7.611 0.000
0.000 0.000 7.611
ATOMIC_POSITIONS crystal
Bi 0.250 0.250 0.250
Bi 0.250 0.250 0.750
Bi 0.250 0.750 0.250
Bi 0.250 0.750 0.750
Bi 0.750 0.250 0.250
Bi 0.750 0.250 0.750
Bi 0.750 0.750 0.250
Bi 0.750 0.750 0.750
Te 0.000 0.000 0.000
Te 0.000 0.500 0.500
Te 0.500 0.000 0.500
Te 0.500 0.500 0.000
As 0.000 0.000 0.500
As 0.000 0.500 0.000
As 0.500 0.000 0.000
As 0.500 0.500 0.500
```

E above lowest polymorph (meV per atom): 222
Uncorrected energy (eV per atom): -3.708
E_form (uncorrected) (eV per atom): 0.1806
DOS at the Fermi energy (states/eV/f.u.): 2.0
SG: Fm-3m, No. 225

First-principles (PBE-GGA) data for an optimized crystal structure of NdGaOs2C, as listed in Alexandria. Values from VASP.

The structure in Quantum ESPRESSO input format:
```
&SYSTEM
  ibrav = 0, nat = 10, ntyp = 4
/
ATOMIC_SPECIES
Nd 144.24 Nd.upf
Ga 69.72 Ga.upf
Os 190.23 Os.upf
C 12.01 C.upf
CELL_PARAMETERS angstrom
2.052 -5.511 0.000
2.052 5.511 0.000
0.000 0.000 7.355
ATOMIC_POSITIONS crystal
Nd 0.049 0.951 0.750
Nd 0.951 0.049 0.250
Ga 0.230 0.770 0.250
Ga 0.770 0.230 0.750
Os 0.333 0.667 0.561
Os 0.333 0.667 0.939
Os 0.667 0.333 0.061
Os 0.667 0.333 0.439
C 0.500 0.500 0.000
C 0.500 0.500 0.500
```

Energy relative to the elements (eV per atom): -0.245
Uncorrected energy (eV per atom): -8.141
DOS at the Fermi energy (states/eV/f.u.): 4.2
SG: Cmcm, No. 63

First-principles (PBE-GGA) data for an optimized crystal structure of Si3GeRu, as listed in Alexandria. Values from VASP.

The structure in Quantum ESPRESSO input format:
```
&SYSTEM
  ibrav = 0, nat = 5, ntyp = 3
/
ATOMIC_SPECIES
Si 28.09 Si.upf
Ge 72.64 Ge.upf
Ru 101.07 Ru.upf
CELL_PARAMETERS angstrom
4.639 0.000 0.000
0.000 4.639 0.000
0.000 0.000 4.639
ATOMIC_POSITIONS crystal
Si 0.000 0.000 0.500
Si 0.000 0.500 0.000
Si 0.500 0.000 0.000
Ge 0.500 0.500 0.500
Ru 0.000 0.000 0.000
```

E above lowest polymorph (meV per atom): 0
Uncorrected energy (eV per atom): -5.522
E_form (uncorrected) (eV per atom): 0.5106
DOS at the Fermi energy (states/eV/f.u.): 5.8
SG: Pm-3m, No. 221

First-principles (PBE-GGA) data for an optimized crystal structure of BaLa4Ge4, as listed in Alexandria. Values from VASP.

The structure in Quantum ESPRESSO input format:
```
&SYSTEM
  ibrav = 0, nat = 18, ntyp = 3
/
ATOMIC_SPECIES
Ba 137.33 Ba.upf
La 138.91 La.upf
Ge 72.64 Ge.upf
CELL_PARAMETERS angstrom
10.092 0.000 0.000
0.000 10.092 0.000
0.000 0.000 6.110
ATOMIC_POSITIONS crystal
Ba 0.250 0.250 0.250
Ba 0.750 0.750 0.750
La 0.115 0.631 0.131
La 0.131 0.885 0.631
La 0.369 0.615 0.631
La 0.385 0.869 0.131
La 0.615 0.131 0.869
La 0.631 0.385 0.369
La 0.869 0.115 0.369
La 0.885 0.369 0.869
Ge 0.063 0.573 0.642
Ge 0.073 0.937 0.142
Ge 0.427 0.563 0.142
Ge 0.437 0.927 0.642
Ge 0.563 0.073 0.358
Ge 0.573 0.437 0.858
Ge 0.927 0.063 0.858
Ge 0.937 0.427 0.358
```

Energy relative to the elements (eV per atom): -0.592
Uncorrected energy (eV per atom): -5.048
DOS at the Fermi energy (states/eV/f.u.): 5.6
SG: P4_2/n, No. 86

First-principles (PBE-GGA) data for an optimized crystal structure of CaAl4Ir2Pd, as listed in Alexandria. Values from VASP.

The structure in Quantum ESPRESSO input format:
```
&SYSTEM
  ibrav = 0, nat = 8, ntyp = 4
/
ATOMIC_SPECIES
Ca 40.08 Ca.upf
Al 26.98 Al.upf
Ir 192.22 Ir.upf
Pd 106.42 Pd.upf
CELL_PARAMETERS angstrom
2.129 1.229 8.897
-2.129 1.229 8.897
0.000 -2.458 8.897
ATOMIC_POSITIONS crystal
Ca 0.000 0.000 0.000
Al 0.132 0.132 0.132
Al 0.406 0.406 0.406
Al 0.594 0.594 0.594
Al 0.868 0.868 0.868
Ir 0.234 0.234 0.234
Ir 0.766 0.766 0.766
Pd 0.500 0.500 0.500
```

Energy relative to the elements (eV per atom): -0.717
Uncorrected energy (eV per atom): -5.703
DOS at the Fermi energy (states/eV/f.u.): 4.6
SG: R-3m, No. 166